Entry from Alexandria via LeMat-Bulk: a relaxed structure of Cs3BiP (PBE).

Results
DFT total energy in eV/atom: -2.54
ΔE_f in meV/atom: -169

a = 8.6829 Å, b = 8.6829 Å, c = 8.9362 Å
α = 100.83°, β = 100.83°, γ = 88.28°
Fractional positions:
Cs 0.1405 0.7069 0.6888
Cs 0.2931 0.8595 0.3112
Cs 0.3065 0.3065 0.9686
Cs 0.6935 0.6935 0.0314
Cs 0.7069 0.1405 0.6888
Cs 0.8595 0.2931 0.3112
Bi 0.3433 0.3433 0.4152
Bi 0.6567 0.6567 0.5848
P 0.4751 0.4751 0.7042
P 0.5249 0.5249 0.2958


Entry from Alexandria via LeMat-Bulk: a relaxed structure of CsBiP (PBE).

Results
DFT total energy in eV/atom: -3.62
ΔE_f in meV/atom: -237

a = 4.9645 Å, b = 7.5700 Å, c = 7.9993 Å
α = 114.84°, β = 92.08°, γ = 107.45°
Fractional positions:
Cs 0.0000 0.0000 0.0000
Cs 0.4102 0.6899 0.3679
Bi 0.2352 0.4783 0.7901
Bi 0.6957 0.2920 0.4788
P 0.4877 0.1999 0.7530
P 0.8095 0.4365 0.0014